No. 1
Here is a PBEsol-optimized structure of CoTe2Rh from the Alexandria database. Energies are from meta-GGA SCAN.

Values from the calculation:
The crystal system is tetragonal. Its formation energy without anion corrections is 0.04 eV per atom. The total magnetization comes out at 0.01 μB/cell. Its symmetry is No. 122.

```
data_CoTe2Rh
_symmetry_space_group_name_H-M 'P 1'
_symmetry_Int_Tables_number 1
_cell_length_a 5.7594
_cell_length_b 5.7594
_cell_length_c 6.8746
_cell_angle_alpha 114.76
_cell_angle_beta 114.76
_cell_angle_gamma 90.00
loop_
_symmetry_equiv_pos_as_xyz
'x,y,z'
loop_
_atom_site_label
_atom_site_type_symbol
_atom_site_fract_x
_atom_site_fract_y
_atom_site_fract_z
Co1 Co 0.5000 0.5000 0.0000
Co2 Co 0.7500 0.2500 0.5000
Rh1 Rh 0.2500 0.7500 0.5000
Rh2 Rh 0.0000 0.0000 0.0000
Te1 Te 0.8552 0.3750 0.2500
Te2 Te 0.3948 0.8750 0.2500
Te3 Te 0.1250 0.1448 0.7500
Te4 Te 0.6250 0.6052 0.7500
```


No. 2
Here is a PBEsol-optimized structure of Tl2TcAs from the Alexandria database. Energies are from meta-GGA SCAN.

Values from the calculation:
The crystal system is orthorhombic. The total magnetization comes out at 1.98 μB/cell. Its formation energy is 0.796 eV per atom. Its symmetry is No. 47.

```
data_Tl2TcAs
_symmetry_space_group_name_H-M 'P 1'
_symmetry_Int_Tables_number 1
_cell_length_a 3.4497
_cell_length_b 4.6413
_cell_length_c 4.9664
_cell_angle_alpha 90.00
_cell_angle_beta 90.00
_cell_angle_gamma 90.00
loop_
_symmetry_equiv_pos_as_xyz
'x,y,z'
loop_
_atom_site_label
_atom_site_type_symbol
_atom_site_fract_x
_atom_site_fract_y
_atom_site_fract_z
Tl1 Tl 0.0000 0.0000 0.0000
Tl2 Tl 0.5000 0.0000 0.5000
Tc1 Tc 0.0000 0.5000 0.5000
As1 As 0.5000 0.5000 0.0000
```


No. 3
Here is a PBEsol-optimized structure of K2InRu from the Alexandria database. Energies are from meta-GGA SCAN.

Values from the calculation:
The crystal system is monoclinic. The total magnetization comes out at 0.02 μB/cell. Its formation energy is 0.344 eV per atom. Its symmetry is No. 6.

```
data_K2InRu
_symmetry_space_group_name_H-M 'P 1'
_symmetry_Int_Tables_number 1
_cell_length_a 3.6598
_cell_length_b 3.7058
_cell_length_c 10.0257
_cell_angle_alpha 90.00
_cell_angle_beta 100.74
_cell_angle_gamma 90.00
loop_
_symmetry_equiv_pos_as_xyz
'x,y,z'
loop_
_atom_site_label
_atom_site_type_symbol
_atom_site_fract_x
_atom_site_fract_y
_atom_site_fract_z
K1 K 0.0273 0.0000 0.9190
K2 K 0.7200 0.5000 0.3316
Ru1 Ru 0.8671 0.0000 0.6064
In1 In 0.3856 0.5000 0.6431
```


No. 4
Here is a PBEsol-optimized structure of ZrMnIn2 from the Alexandria database. Energies are from meta-GGA SCAN.

Values from the calculation:
The crystal system is orthorhombic. The total magnetization comes out at 4.17 μB/cell. Its formation energy is -0.242 eV per atom. Its symmetry is No. 65.

```
data_ZrMnIn2
_symmetry_space_group_name_H-M 'P 1'
_symmetry_Int_Tables_number 1
_cell_length_a 3.0234
_cell_length_b 5.2730
_cell_length_c 5.2730
_cell_angle_alpha 110.11
_cell_angle_beta 90.00
_cell_angle_gamma 90.00
loop_
_symmetry_equiv_pos_as_xyz
'x,y,z'
loop_
_atom_site_label
_atom_site_type_symbol
_atom_site_fract_x
_atom_site_fract_y
_atom_site_fract_z
In1 In 0.0000 0.0000 0.5000
In2 In 0.0000 0.5000 0.0000
Zr1 Zr 0.5000 0.5000 0.5000
Mn1 Mn 0.5000 0.0000 0.0000
```


No. 5
Here is a PBEsol-optimized structure of Sr2InFe from the Alexandria database. Energies are from meta-GGA SCAN.

Values from the calculation:
The crystal system is tetragonal. The total magnetization comes out at 2.72 μB/cell. Its formation energy is 0.119 eV per atom. Its symmetry is No. 99.

```
data_Sr2InFe
_symmetry_space_group_name_H-M 'P 1'
_symmetry_Int_Tables_number 1
_cell_length_a 3.6287
_cell_length_b 3.6287
_cell_length_c 8.9458
_cell_angle_alpha 90.00
_cell_angle_beta 90.00
_cell_angle_gamma 90.00
loop_
_symmetry_equiv_pos_as_xyz
'x,y,z'
loop_
_atom_site_label
_atom_site_type_symbol
_atom_site_fract_x
_atom_site_fract_y
_atom_site_fract_z
Fe1 Fe 0.0000 0.0000 0.5717
In1 In 0.5000 0.5000 0.6746
Sr1 Sr 0.0000 0.0000 0.9310
Sr2 Sr 0.5000 0.5000 0.3227
```


No. 6
Here is a PBEsol-optimized structure of Mo3Se4S2 from the Alexandria database. Energies are from meta-GGA SCAN.

Values from the calculation:
The crystal system is hexagonal. Its formation energy without anion corrections is -0.76 eV per atom. The total magnetization comes out at 0.00 μB/cell. Its symmetry is No. 187.

```
data_Mo3Se4S2
_symmetry_space_group_name_H-M 'P 1'
_symmetry_Int_Tables_number 1
_cell_length_a 3.2228
_cell_length_b 3.2228
_cell_length_c 20.0913
_cell_angle_alpha 90.00
_cell_angle_beta 90.00
_cell_angle_gamma 120.00
loop_
_symmetry_equiv_pos_as_xyz
'x,y,z'
loop_
_atom_site_label
_atom_site_type_symbol
_atom_site_fract_x
_atom_site_fract_y
_atom_site_fract_z
Se1 Se 0.6667 0.3333 0.6012
Se2 Se 0.6667 0.3333 0.7685
Se3 Se 0.6667 0.3333 0.2315
Se4 Se 0.6667 0.3333 0.3988
S1 S 0.0000 0.0000 0.0762
S2 S 0.0000 0.0000 0.9238
Mo1 Mo 0.0000 0.0000 0.3152
Mo2 Mo 0.0000 0.0000 0.6848
Mo3 Mo 0.6667 0.3333 0.0000
```


No. 7
Here is a PBEsol-optimized structure of Mg2HgClF from the Alexandria database. Energies are from meta-GGA SCAN.

Values from the calculation:
The crystal system is tetragonal. Its formation energy without anion corrections is -0.35 eV per atom. The total magnetization comes out at 0.00 μB/cell. Its symmetry is No. 123.

```
data_Mg2HgClF
_symmetry_space_group_name_H-M 'P 1'
_symmetry_Int_Tables_number 1
_cell_length_a 5.1000
_cell_length_b 5.2915
_cell_length_c 5.2915
_cell_angle_alpha 90.00
_cell_angle_beta 90.00
_cell_angle_gamma 90.00
loop_
_symmetry_equiv_pos_as_xyz
'x,y,z'
loop_
_atom_site_label
_atom_site_type_symbol
_atom_site_fract_x
_atom_site_fract_y
_atom_site_fract_z
Hg1 Hg 0.0000 0.0000 0.0000
Mg1 Mg 0.0000 0.0000 0.5000
Mg2 Mg 0.0000 0.5000 0.0000
F1 F 0.5000 0.5000 0.5000
Cl1 Cl 0.5000 0.0000 0.0000
```


No. 8
Here is a PBEsol-optimized structure of Gd2Mo3O12 from the Alexandria database. Energies are from meta-GGA SCAN.

Values from the calculation:
The crystal system is monoclinic. Its formation energy without anion corrections is -2.70 eV per atom. The total magnetization comes out at 27.81 μB/cell. Its symmetry is No. 15.

```
data_Gd2Mo3O12
_symmetry_space_group_name_H-M 'P 1'
_symmetry_Int_Tables_number 1
_cell_length_a 6.8369
_cell_length_b 6.8369
_cell_length_c 11.3538
_cell_angle_alpha 100.71
_cell_angle_beta 100.71
_cell_angle_gamma 112.52
loop_
_symmetry_equiv_pos_as_xyz
'x,y,z'
loop_
_atom_site_label
_atom_site_type_symbol
_atom_site_fract_x
_atom_site_fract_y
_atom_site_fract_z
Mo1 Mo 0.0154 0.2988 0.0530
Mo2 Mo 0.9846 0.7012 0.9470
Mo3 Mo 0.6198 0.3802 0.2500
Mo4 Mo 0.7012 0.9846 0.4470
Mo5 Mo 0.2988 0.0154 0.5530
Mo6 Mo 0.3802 0.6198 0.7500
O1 O 0.4462 0.5287 0.6096
O2 O 0.3999 0.8246 0.4212
O3 O 0.1740 0.1067 0.4425
O4 O 0.6001 0.1754 0.5788
O5 O 0.2749 0.8720 0.9598
O6 O 0.5287 0.4462 0.1096
O7 O 0.4713 0.5538 0.8904
O8 O 0.9057 0.4888 0.2799
O9 O 0.2914 0.1516 0.6994
O10 O 0.8933 0.8260 0.0575
O11 O 0.0943 0.5112 0.7201
O12 O 0.7251 0.1280 0.0402
O13 O 0.5538 0.4713 0.3904
O14 O 0.1754 0.6001 0.0788
O15 O 0.8260 0.8933 0.5575
O16 O 0.7086 0.8484 0.3006
O17 O 0.5112 0.0943 0.2201
O18 O 0.1280 0.7251 0.5402
O19 O 0.1516 0.2914 0.1994
O20 O 0.8246 0.3999 0.9212
O21 O 0.8484 0.7086 0.8006
O22 O 0.1067 0.1740 0.9425
O23 O 0.8720 0.2749 0.4598
O24 O 0.4888 0.9057 0.7799
Gd1 Gd 0.8022 0.5476 0.5917
Gd2 Gd 0.1978 0.4524 0.4083
Gd3 Gd 0.4524 0.1978 0.9083
Gd4 Gd 0.5476 0.8022 0.0917
```


No. 9
Here is a PBEsol-optimized structure of PBr2N from the Alexandria database. Energies are from meta-GGA SCAN.

Values from the calculation:
The crystal system is orthorhombic. Its formation energy without anion corrections is -0.41 eV per atom. The total magnetization comes out at 0.00 μB/cell. Its symmetry is No. 62.

```
data_PBr2N
_symmetry_space_group_name_H-M 'P 1'
_symmetry_Int_Tables_number 1
_cell_length_a 6.6592
_cell_length_b 13.6641
_cell_length_c 14.6694
_cell_angle_alpha 90.00
_cell_angle_beta 90.00
_cell_angle_gamma 90.00
loop_
_symmetry_equiv_pos_as_xyz
'x,y,z'
loop_
_atom_site_label
_atom_site_type_symbol
_atom_site_fract_x
_atom_site_fract_y
_atom_site_fract_z
N1 N 0.0255 0.8504 0.0037
N2 N 0.4745 0.8504 0.5037
N3 N 0.1114 0.2500 0.1460
N4 N 0.5255 0.3504 0.4963
N5 N 0.9745 0.1496 0.9963
N6 N 0.0255 0.6496 0.0037
N7 N 0.6114 0.7500 0.3540
N8 N 0.5255 0.1496 0.4963
N9 N 0.8886 0.7500 0.8540
N10 N 0.3886 0.2500 0.6460
N11 N 0.9745 0.3504 0.9963
N12 N 0.4745 0.6496 0.5037
Br1 Br 0.0950 0.9472 0.8159
Br2 Br 0.6169 0.7500 0.6825
Br3 Br 0.9050 0.4472 0.1841
Br4 Br 0.4050 0.5528 0.3159
Br5 Br 0.8700 0.2500 0.3917
Br6 Br 0.1300 0.7500 0.6083
Br7 Br 0.6333 0.5724 0.9147
Br8 Br 0.1169 0.2500 0.8175
Br9 Br 0.3667 0.4276 0.0853
Br10 Br 0.9050 0.0528 0.1841
Br11 Br 0.8667 0.9276 0.4147
Br12 Br 0.6333 0.9276 0.9147
Br13 Br 0.1333 0.0724 0.5853
Br14 Br 0.3700 0.7500 0.1083
Br15 Br 0.5950 0.0528 0.6841
Br16 Br 0.0950 0.5528 0.8159
Br17 Br 0.3831 0.2500 0.3175
Br18 Br 0.3667 0.0724 0.0853
Br19 Br 0.8667 0.5724 0.4147
Br20 Br 0.1333 0.4276 0.5853
Br21 Br 0.8831 0.7500 0.1825
Br22 Br 0.6300 0.2500 0.8917
Br23 Br 0.5950 0.4472 0.6841
Br24 Br 0.4050 0.9472 0.3159
P1 P 0.9230 0.6483 0.9058
P2 P 0.4368 0.7500 0.5568
P3 P 0.4230 0.3517 0.5942
P4 P 0.9368 0.2500 0.9432
P5 P 0.5770 0.8517 0.4058
P6 P 0.4230 0.1483 0.5942
P7 P 0.5632 0.2500 0.4432
P8 P 0.0770 0.3517 0.0942
P9 P 0.5770 0.6483 0.4058
P10 P 0.0770 0.1483 0.0942
P11 P 0.0632 0.7500 0.0568
P12 P 0.9230 0.8517 0.9058
```


No. 10
Here is a PBEsol-optimized structure of Li4Si3Ni2O10 from the Alexandria database. Energies are from meta-GGA SCAN.

Values from the calculation:
The crystal system is monoclinic. Its formation energy without anion corrections is -2.46 eV per atom. The total magnetization comes out at 7.91 μB/cell. Its symmetry is No. 15.

```
data_Li4Si3Ni2O10
_symmetry_space_group_name_H-M 'P 1'
_symmetry_Int_Tables_number 1
_cell_length_a 5.2362
_cell_length_b 5.2362
_cell_length_c 16.5126
_cell_angle_alpha 83.53
_cell_angle_beta 83.53
_cell_angle_gamma 62.77
loop_
_symmetry_equiv_pos_as_xyz
'x,y,z'
loop_
_atom_site_label
_atom_site_type_symbol
_atom_site_fract_x
_atom_site_fract_y
_atom_site_fract_z
Li1 Li 0.8255 0.5644 0.7783
Li2 Li 0.1745 0.4356 0.2217
Li3 Li 0.8323 0.6811 0.4472
Li4 Li 0.3189 0.1677 0.0528
Li5 Li 0.5644 0.8255 0.2783
Li6 Li 0.1677 0.3189 0.5528
Li7 Li 0.4356 0.1745 0.7217
Li8 Li 0.6811 0.8323 0.9472
O1 O 0.9204 0.8417 0.2048
O2 O 0.2120 0.3683 0.4348
O3 O 0.5934 0.1986 0.3116
O4 O 0.3683 0.2120 0.9348
O5 O 0.2162 0.9095 0.5433
O6 O 0.1986 0.5934 0.8116
O7 O 0.0905 0.7838 0.9567
O8 O 0.7838 0.0905 0.4567
O9 O 0.4492 0.3586 0.6099
O10 O 0.7880 0.6317 0.5652
O11 O 0.0796 0.1583 0.7952
O12 O 0.6414 0.5508 0.8901
O13 O 0.3586 0.4492 0.1099
O14 O 0.1583 0.0796 0.2952
O15 O 0.4066 0.8014 0.6884
O16 O 0.9095 0.2162 0.0433
O17 O 0.6317 0.7880 0.0652
O18 O 0.5508 0.6414 0.3901
O19 O 0.8417 0.9204 0.7048
O20 O 0.8014 0.4066 0.1884
Ni1 Ni 0.9984 0.1914 0.9198
Ni2 Ni 0.0016 0.8086 0.0802
Ni3 Ni 0.1914 0.9984 0.4198
Ni4 Ni 0.8086 0.0016 0.5802
Si1 Si 0.1124 0.8876 0.7500
Si2 Si 0.4716 0.6618 0.5980
Si3 Si 0.8876 0.1124 0.2500
Si4 Si 0.5284 0.3382 0.4020
Si5 Si 0.3382 0.5284 0.9020
Si6 Si 0.6618 0.4716 0.0980
```


No. 11
Here is a PBEsol-optimized structure of Ca2TaAs from the Alexandria database. Energies are from meta-GGA SCAN.

Values from the calculation:
The crystal system is orthorhombic. The total magnetization comes out at 1.14 μB/cell. Its formation energy is -0.021 eV per atom. Its symmetry is No. 38.

```
data_Ca2TaAs
_symmetry_space_group_name_H-M 'P 1'
_symmetry_Int_Tables_number 1
_cell_length_a 3.9842
_cell_length_b 4.2888
_cell_length_c 6.1663
_cell_angle_alpha 90.00
_cell_angle_beta 108.85
_cell_angle_gamma 90.00
loop_
_symmetry_equiv_pos_as_xyz
'x,y,z'
loop_
_atom_site_label
_atom_site_type_symbol
_atom_site_fract_x
_atom_site_fract_y
_atom_site_fract_z
Ta1 Ta 0.6832 0.0000 0.3663
Ca1 Ca 0.9727 0.0000 0.9455
Ca2 Ca 0.2791 0.5000 0.5583
As1 As 0.5660 0.5000 0.1320
```


What is the formula in the tenth record?
Li4Si3Ni2O10


Please write out number 7 again, unchanged.
Here is a PBEsol-optimized structure of Mg2HgClF from the Alexandria database. Energies are from meta-GGA SCAN.

Values from the calculation:
The crystal system is tetragonal. Its formation energy without anion corrections is -0.35 eV per atom. The total magnetization comes out at 0.00 μB/cell. Its symmetry is No. 123.

```
data_Mg2HgClF
_symmetry_space_group_name_H-M 'P 1'
_symmetry_Int_Tables_number 1
_cell_length_a 5.1000
_cell_length_b 5.2915
_cell_length_c 5.2915
_cell_angle_alpha 90.00
_cell_angle_beta 90.00
_cell_angle_gamma 90.00
loop_
_symmetry_equiv_pos_as_xyz
'x,y,z'
loop_
_atom_site_label
_atom_site_type_symbol
_atom_site_fract_x
_atom_site_fract_y
_atom_site_fract_z
Hg1 Hg 0.0000 0.0000 0.0000
Mg1 Mg 0.0000 0.0000 0.5000
Mg2 Mg 0.0000 0.5000 0.0000
F1 F 0.5000 0.5000 0.5000
Cl1 Cl 0.5000 0.0000 0.0000
```


Which formula does entry 4 have?
ZrMnIn2